(1)
# YHo2Cl PBE relaxed
# - Total energy: -4.717 eV per atom
# - Energy relative to the elements, uncorrected: -350.9 meV/atom
# - Calculated volume: 28.4 Å³/atom
data_YHo2Cl
_space_group_name_H-M_alt 'R -3 m'
_space_group_IT_number 166
_space_group_name_Hall '-R 3 2"'
_cell_length_a 3.4291
_cell_length_b 3.4291
_cell_length_c 33.4967
_cell_angle_alpha 90.00
_cell_angle_beta 90.00
_cell_angle_gamma 120.00
loop_
_atom_site_label
_atom_site_type_symbol
_atom_site_fract_x
_atom_site_fract_y
_atom_site_fract_z
Y1 Y 0.0000 0.0000 0.0000
Ho1 Ho 0.0000 0.0000 0.1006
Cl1 Cl 0.0000 0.0000 0.5000

(2)
# TiCoNiBi2 PBE relaxed
# - Calculated formation energy: 997 meV per atom
# - Total energy: -4.712 eV per atom
# - Calculated volume: 23.9 Å³/atom
data_TiCoNiBi2
_space_group_name_H-M_alt 'P 4/m m m'
_space_group_IT_number 123
_space_group_name_Hall '-P 4 2'
_cell_length_a 5.347
_cell_length_b 5.347
_cell_length_c 4.174
_cell_angle_alpha 90.00
_cell_angle_beta 90.00
_cell_angle_gamma 90.00
loop_
_atom_site_label
_atom_site_type_symbol
_atom_site_fract_x
_atom_site_fract_y
_atom_site_fract_z
Ti1 Ti 0.000 0.000 0.000
Co1 Co 0.000 0.000 0.500
Ni1 Ni 0.500 0.500 0.500
Bi1 Bi 0.000 0.500 0.000

(3)
# HoEr15Sc4 PBE relaxed
# - Calculated formation energy: 39 meV per atom
# - Total energy: -4.878 eV per atom
# - Calculated volume: 29.2 Å³/atom
data_HoEr15Sc4
_space_group_name_H-M_alt 'P 4/m m m'
_space_group_IT_number 123
_space_group_name_Hall '-P 4 2'
_cell_length_a 4.893
_cell_length_b 4.893
_cell_length_c 24.434
_cell_angle_alpha 90.00
_cell_angle_beta 90.00
_cell_angle_gamma 90.00
loop_
_atom_site_label
_atom_site_type_symbol
_atom_site_fract_x
_atom_site_fract_y
_atom_site_fract_z
Ho1 Ho 0.000 0.000 0.000
Er1 Er 0.000 0.500 0.103
Er2 Er 0.000 0.500 0.301
Er3 Er 0.000 0.500 0.500
Er4 Er 0.500 0.500 0.000
Er5 Er 0.500 0.500 0.202
Er6 Er 0.500 0.500 0.401
Sc1 Sc 0.000 0.000 0.202
Sc2 Sc 0.000 0.000 0.401

(4)
# SbRu4 PBE relaxed
# - Total energy: -8.151 eV per atom
# - Excess energy over the best structure of this formula in the dataset: 0 meV per atom
# - Energy relative to the elements, uncorrected: 94.0 meV/atom
# - Calculated volume: 15.1 Å³/atom
data_SbRu4
_space_group_name_H-M_alt 'I 4/m'
_space_group_IT_number 87
_space_group_name_Hall '-I 4'
_cell_length_a 6.208
_cell_length_b 6.208
_cell_length_c 3.917
_cell_angle_alpha 90.00
_cell_angle_beta 90.00
_cell_angle_gamma 90.00
loop_
_atom_site_label
_atom_site_type_symbol
_atom_site_fract_x
_atom_site_fract_y
_atom_site_fract_z
Sb1 Sb 0.000 0.000 0.000
Ru1 Ru 0.100 0.314 0.500

(5)
# Ho4CdAu2 PBE relaxed
# - Calculated formation energy: -521 meV per atom
# - Total energy: -4.204 eV per atom
# - Excess energy over the best structure of this formula in the dataset: 0 meV per atom
# - Calculated volume: 26.0 Å³/atom
data_Ho4CdAu2
_space_group_name_H-M_alt 'R -3 m'
_space_group_IT_number 166
_space_group_name_Hall '-R 3 2"'
_cell_length_a 5.0666
_cell_length_b 5.0666
_cell_length_c 24.5440
_cell_angle_alpha 90.00
_cell_angle_beta 90.00
_cell_angle_gamma 120.00
loop_
_atom_site_label
_atom_site_type_symbol
_atom_site_fract_x
_atom_site_fract_y
_atom_site_fract_z
Ho1 Ho 0.0000 0.0000 0.1185
Ho2 Ho 0.0000 0.0000 0.3706
Cd1 Cd 0.0000 0.0000 0.5000
Au1 Au 0.0000 0.0000 0.2493

(6)
# KBa2NiH6 PBE relaxed
# - Total energy: -3.326 eV per atom
# - Calculated volume: 14.8 Å³/atom
data_KBa2NiH6
_space_group_name_H-M_alt 'P m m n'
_space_group_IT_number 59
_cell_length_a 5.924
_cell_length_b 8.417
_cell_length_c 5.930
_cell_angle_alpha 90.00
_cell_angle_beta 90.00
_cell_angle_gamma 90.00
loop_
_space_group_symop_operation_xyz
'x,y,z'
'-x,-y,-z'
'-x+1/2,-y+1/2,z'
'x+1/2,y+1/2,-z'
'x+1/2,-y,-z'
'-x+1/2,y,z'
'-x,y+1/2,-z'
'x,-y+1/2,z'
loop_
_atom_site_label
_atom_site_type_symbol
_atom_site_fract_x
_atom_site_fract_y
_atom_site_fract_z
K1 K 0.250 0.250 0.249
Ba1 Ba 0.250 0.000 0.750
Ni1 Ni 0.250 0.750 0.251
H1 H 0.049 0.750 0.050
H2 H 0.049 0.750 0.451
H3 H 0.250 0.549 0.251

(7)
# B4C PBE relaxed
# - Calculated formation energy: 950 meV per atom
# - Total energy: -6.237 eV per atom
# - Excess energy over the best structure of this formula in the dataset: 1052 meV per atom
# - Calculated volume: 14.8 Å³/atom
data_B4C
_space_group_name_H-M_alt 'R -3 m'
_space_group_IT_number 166
_space_group_name_Hall '-R 3 2"'
_cell_length_a 6.8174
_cell_length_b 6.8174
_cell_length_c 16.5481
_cell_angle_alpha 90.00
_cell_angle_beta 90.00
_cell_angle_gamma 120.00
loop_
_atom_site_label
_atom_site_type_symbol
_atom_site_fract_x
_atom_site_fract_y
_atom_site_fract_z
B1 B 0.0808 0.1617 0.2656
B2 B 0.0854 0.5427 0.0426
C1 C 0.0000 0.0000 0.4163
C2 C 0.0000 0.0000 0.5000

(8)
# K2TaMn PBE relaxed
# - Calculated formation energy: 1311 meV per atom
# - Total energy: -4.493 eV per atom
# - Excess energy over the best structure of this formula in the dataset: 576 meV per atom
# - Calculated volume: 25.0 Å³/atom
data_K2TaMn
_space_group_name_H-M_alt 'C 1 2/m 1'
_space_group_IT_number 12
_cell_length_a 6.020
_cell_length_b 12.708
_cell_length_c 2.956
_cell_angle_alpha 90.00
_cell_angle_beta 117.87
_cell_angle_gamma 90.00
loop_
_space_group_symop_operation_xyz
'x,y,z'
'-x,-y,-z'
'-x,y,-z'
'x,-y,z'
'x+1/2,y+1/2,z'
'-x+1/2,-y+1/2,-z'
'-x+1/2,y+1/2,-z'
'x+1/2,-y+1/2,z'
loop_
_atom_site_label
_atom_site_type_symbol
_atom_site_fract_x
_atom_site_fract_y
_atom_site_fract_z
K1 K 0.250 0.250 0.000
Ta1 Ta 0.000 0.000 0.500
Mn1 Mn 0.000 0.500 0.500

(9)
# La2CuRe PBE relaxed
# - Calculated formation energy: 148 meV per atom
# - Total energy: -6.451 eV per atom
# - Excess energy over the best structure of this formula in the dataset: 0 meV per atom
# - Calculated volume: 25.0 Å³/atom
data_La2CuRe
_space_group_name_H-M_alt 'A m m 2'
_space_group_IT_number 38
_cell_length_a 4.382
_cell_length_b 4.212
_cell_length_c 10.847
_cell_angle_alpha 90.00
_cell_angle_beta 90.00
_cell_angle_gamma 90.00
loop_
_space_group_symop_operation_xyz
'x,y,z'
'-x,-y,z'
'-x,y,z'
'x,-y,z'
'x,y+1/2,z+1/2'
'-x,-y+1/2,z+1/2'
'-x,y+1/2,z+1/2'
'x,-y+1/2,z+1/2'
loop_
_atom_site_label
_atom_site_type_symbol
_atom_site_fract_x
_atom_site_fract_y
_atom_site_fract_z
La1 La 0.000 0.000 0.000
La2 La 0.500 0.000 0.283
Cu1 Cu 0.000 0.000 0.703
Re1 Re 0.500 0.000 0.580

(10)
# Sr4LaRu PBE relaxed
# - Calculated formation energy: 1007 meV per atom
# - Total energy: -2.482 eV per atom
# - Calculated volume: 41.4 Å³/atom
data_Sr4LaRu
_space_group_name_H-M_alt 'F -4 3 m'
_space_group_IT_number 216
_space_group_name_Hall 'F -4 2 3'
_cell_length_a 9.981
_cell_length_b 9.981
_cell_length_c 9.981
_cell_angle_alpha 90.00
_cell_angle_beta 90.00
_cell_angle_gamma 90.00
loop_
_atom_site_label
_atom_site_type_symbol
_atom_site_fract_x
_atom_site_fract_y
_atom_site_fract_z
Sr1 Sr 0.124 0.124 0.376
La1 La 0.000 0.000 0.000
Ru1 Ru 0.250 0.250 0.750

(11)
# YGa2BP PBE relaxed
# - Calculated formation energy: -192 meV per atom
# - Total energy: -5.113 eV per atom
# - Calculated volume: 18.1 Å³/atom
data_YGa2BP
_space_group_name_H-M_alt 'P 4/m m m'
_space_group_IT_number 123
_space_group_name_Hall '-P 4 2'
_cell_length_a 4.120
_cell_length_b 4.120
_cell_length_c 5.326
_cell_angle_alpha 90.00
_cell_angle_beta 90.00
_cell_angle_gamma 90.00
loop_
_atom_site_label
_atom_site_type_symbol
_atom_site_fract_x
_atom_site_fract_y
_atom_site_fract_z
Y1 Y 0.000 0.000 0.000
Ga1 Ga 0.000 0.500 0.500
B1 B 0.000 0.000 0.500
P1 P 0.500 0.500 0.000